Density functional theory data (PBE) for AlRhBr2 after structural relaxation.

Cell and atoms, written as extended XYZ:
```
4
Lattice="4.893 0.000 0.000 0.000 3.744 0.000 -2.431 0.000 6.664" Properties=species:S:1:pos:R:3 pbc="T T T"
Al 0.000 0.000 0.000
Rh 2.447 0.000 0.000
Br 0.029 1.872 4.911
Br 2.433 1.872 1.754
```

Values from the calculation:
The raw formation energy comes out at -0.15 eV/atom. As for the symmetry: P2/m. The excess energy over the best structure of this formula in the dataset is 0.92 eV/f.u.

---

Density functional theory data (PBE) for KBe2Pt after structural relaxation.

Cell and atoms, written as extended XYZ:
```
8
Lattice="-2.495 2.495 7.194 2.495 -2.495 7.194 2.495 2.495 -7.194" Properties=species:S:1:pos:R:3 pbc="T T T"
K 2.495 1.247 1.798
K 0.000 1.247 5.395
Be 0.000 0.000 0.000
Be 1.247 1.247 -3.597
Be 1.247 -1.247 3.597
Be 0.000 2.495 0.000
Pt 2.495 -1.247 5.395
Pt 0.000 3.742 1.798
```

Values from the calculation:
As for the symmetry: I4_1/amd. The excess energy over the best structure of this formula in the dataset is 1.35 eV/f.u.

---

Density functional theory data (PBE) for Sm2TmRh3 after structural relaxation.

Cell and atoms, written as extended XYZ:
```
6
Lattice="3.451 0.000 0.000 0.000 3.451 0.000 0.000 0.000 10.429" Properties=species:S:1:pos:R:3 pbc="T T T"
Sm 0.000 0.000 1.772
Sm 0.000 0.000 8.658
Tm 0.000 0.000 5.215
Rh 1.726 1.726 0.000
Rh 1.726 1.726 3.578
Rh 1.726 1.726 6.852
```

Values from the calculation:
Its total energy is -6.7871 eV per atom. As for the symmetry: P4/mmm.

---

Density functional theory data (PBE) for Ag12H5Cl3 after structural relaxation.

Cell and atoms, written as extended XYZ:
```
80
Lattice="-6.921 6.921 6.921 6.921 -6.921 6.921 6.921 6.921 -6.921" Properties=species:S:1:pos:R:3 pbc="T T T"
Ag 5.397 -4.088 4.222
Ag 11.905 0.761 -0.627
Ag 9.754 2.699 -1.524
Ag 7.548 -4.984 6.159
Ag 4.222 5.397 -4.088
Ag 6.159 -0.627 1.937
Ag 8.857 0.761 0.627
Ag 8.445 -2.833 4.222
Ag 6.159 7.548 -4.984
Ag 4.222 -1.524 4.088
Ag 4.088 4.222 -1.524
Ag 6.294 1.937 0.761
Ag 6.294 -1.937 6.159
Ag 11.008 2.699 1.524
Ag 6.159 6.294 -1.937
Ag 4.222 1.524 2.833
Ag 1.937 6.159 -0.627
Ag 8.445 2.833 2.699
Ag 4.222 8.445 -2.833
Ag 6.159 0.627 4.984
Ag 2.833 4.222 1.524
Ag 7.548 4.984 0.761
Ag 4.984 6.159 0.627
Ag 5.397 4.088 2.699
Ag 1.524 2.833 4.222
Ag 1.937 0.761 6.294
Ag -0.627 1.937 6.159
Ag 4.088 2.699 5.397
Ag 0.761 6.294 1.937
Ag 2.699 -1.524 9.754
Ag -1.524 4.088 4.222
Ag 4.984 0.761 7.548
Ag 2.699 5.397 4.088
Ag 0.761 0.627 8.857
Ag -4.088 4.222 5.397
Ag 0.627 8.857 0.761
Ag 0.627 4.984 6.159
Ag 2.833 2.699 8.445
Ag 2.699 8.445 2.833
Ag 0.761 -0.627 11.905
Ag -1.524 9.754 2.699
Ag -1.937 6.159 6.294
Ag 0.761 7.548 4.984
Ag 2.699 1.524 11.008
Ag -0.627 11.905 0.761
Ag -2.833 4.222 8.445
Ag -4.984 6.159 7.548
Ag 1.524 11.008 2.699
H 0.000 0.000 0.000
H 3.460 3.460 -3.460
H 3.460 -3.460 3.460
H 6.921 0.000 0.000
H 10.381 1.730 0.000
H 6.921 -3.460 5.191
H 5.191 6.921 -3.460
H 5.191 0.000 3.460
H 3.460 5.191 0.000
H 6.921 3.460 1.730
H -3.460 3.460 3.460
H 0.000 6.921 0.000
H 0.000 0.000 6.921
H 3.460 3.460 3.460
H 0.000 3.460 5.191
H 3.460 1.730 6.921
H 1.730 6.921 3.460
H 1.730 0.000 10.381
H 0.000 10.381 1.730
H -3.460 5.191 6.921
Cl 3.460 1.730 0.000
Cl 6.921 3.460 -1.730
Cl 1.730 0.000 3.460
Cl 8.651 0.000 3.460
Cl 0.000 3.460 1.730
Cl 3.460 -1.730 6.921
Cl 3.460 8.651 0.000
Cl 6.921 3.460 5.191
Cl -1.730 6.921 3.460
Cl 5.191 6.921 3.460
Cl 0.000 3.460 8.651
Cl 3.460 5.191 6.921
```

Values from the calculation:
Its total energy is -2.6722 eV per atom. As for the symmetry: Ia-3d.

---

| no. | volume (Å³ per cell) |
| --- | --- |
| 1 | 122 |
| 2 | 179 |
| 3 | 124 |
| 4 | 1326 |